No. 1
Rh2SO2: relaxed, PBE.

Unit cell a=6.725 b=6.725 c=2.801 alpha=90.00 beta=90.00 gamma=90.00
Fractional positions:
S1 0.000 0.000 0.000
S2 0.500 0.500 0.000
Rh1 0.231 0.731 0.500
Rh2 0.731 0.769 0.500
Rh3 0.769 0.269 0.500
Rh4 0.269 0.231 0.500
O1 0.378 0.878 0.000
O2 0.878 0.622 0.000
O3 0.622 0.122 0.000
O4 0.122 0.378 0.000

Values from the calculation:
space group	P4/mbm (127)
size of the total moment	0.0	μB/f.u.
raw formation energy	0.352	eV per atom

No. 2
RhS2O: relaxed, PBE.

Unit cell a=6.117 b=6.117 c=6.117 alpha=34.83 beta=34.83 gamma=34.83
Fractional positions:
S1 0.898 0.898 0.898
S2 0.102 0.102 0.102
Rh1 0.500 0.500 0.500
O1 0.000 0.000 0.000

Values from the calculation:
space group	R-3m (166)
size of the total moment	0.0	μB/f.u.
raw formation energy	-0.232	eV per atom

No. 3
Rh2S2O: relaxed, PBE.

Unit cell a=6.641 b=6.641 c=3.133 alpha=90.00 beta=90.00 gamma=90.00
Fractional positions:
S1 0.346 0.846 0.000
S2 0.846 0.654 0.000
S3 0.654 0.154 0.000
S4 0.154 0.346 0.000
Rh1 0.142 0.642 0.500
Rh2 0.642 0.858 0.500
Rh3 0.858 0.358 0.500
Rh4 0.358 0.142 0.500
O1 0.000 0.000 0.000
O2 0.500 0.500 0.000

Values from the calculation:
space group	P4/mbm (127)
relative energy among the computed polymorphs	1.255	eV/f.u.
size of the total moment	0.0	μB/f.u.
raw formation energy	0.443	eV per atom

No. 4
RhSO5: relaxed, PBE.

Unit cell a=5.179 b=5.179 c=7.217 alpha=110.30 beta=110.29 gamma=89.98
Last column: magnetic moment on the atom in μB.
Fractional positions:
Rh1 0.500 0.000 0.000  0.26
Rh2 0.500 0.000 0.500  0.26
S1 0.884 0.616 0.250  0.00
S2 0.116 0.384 0.750  0.00
O1 0.761 0.715 0.071  0.00
O2 0.194 0.664 0.332  0.00
O3 0.414 0.086 0.250  0.25
O4 0.785 0.739 0.429  0.00
O5 0.215 0.261 0.571  0.00
O6 0.836 0.306 0.168  0.00
O7 0.164 0.694 0.832  0.00
O8 0.586 0.914 0.750  0.25
O9 0.806 0.336 0.668  0.00
O10 0.239 0.285 0.929  0.00

Values from the calculation:
space group	C2/c (15)
size of the total moment	0.6	μB/f.u.
raw formation energy	-0.888	eV per atom

No. 5
Rh3SO: relaxed, PBE.

Unit cell a=4.145 b=4.145 c=4.145 alpha=90.00 beta=90.00 gamma=90.00
Last column: magnetic moment on the atom in μB.
Fractional positions:
S1 0.500 0.500 0.500  0.07
Rh1 0.000 0.500 0.000  0.70
Rh2 0.000 0.000 0.500  0.59
Rh3 0.500 0.000 0.000  0.56
O1 0.000 0.000 0.000  0.05

Values from the calculation:
space group	Pm-3m (221)
relative energy among the computed polymorphs	0.000	eV/f.u.
size of the total moment	2.0	μB/f.u.
raw formation energy	0.467	eV per atom

No. 6
Rh2S2O: relaxed, PBE.

Unit cell a=3.885 b=3.885 c=5.846 alpha=70.59 beta=70.59 gamma=90.00
Fractional positions:
S1 0.372 0.372 0.256
S2 0.628 0.628 0.744
Rh1 0.750 0.250 0.500
Rh2 0.250 0.750 0.500
O1 0.000 0.000 0.000

Values from the calculation:
space group	I4/mmm (139)
relative energy among the computed polymorphs	0.000	eV/f.u.
size of the total moment	0.0	μB/f.u.
raw formation energy	0.192	eV per atom

No. 7
RhSO: relaxed, PBE.

Unit cell a=3.374 b=5.336 c=13.582 alpha=83.86 beta=90.00 gamma=90.00
Last column: magnetic moment on the atom in μB.
Fractional positions:
Rh1 0.000 0.071 0.019  0.01
Rh2 0.000 0.997 0.662  0.07
Rh3 0.000 0.927 0.329  -0.01
Rh4 0.500 0.546 0.840  0.07
Rh5 0.500 0.469 0.500  0.00
Rh6 0.500 0.474 0.169  0.00
S1 0.500 0.903 0.112  0.00
S2 0.000 0.779 0.900  0.01
S3 0.000 0.556 0.269  0.00
S4 0.000 0.610 0.599  0.00
S5 0.000 0.367 0.738  0.00
S6 0.000 0.308 0.401  0.00
O1 0.500 0.859 0.737  0.06
O2 0.500 0.819 0.413  0.00
O3 0.000 0.409 0.079  0.00
O4 0.500 0.225 0.934  0.03
O5 0.500 0.125 0.581  0.01
O6 0.500 0.057 0.219  0.00

Values from the calculation:
space group	Pm (6)
size of the total moment	0.0	μB/f.u.
raw formation energy	-0.465	eV per atom

No. 8
RhSO2: relaxed, PBE.

Unit cell a=5.898 b=5.898 c=4.912 alpha=53.10 beta=53.10 gamma=90.00
Fractional positions:
S1 0.500 0.500 0.000
S2 0.250 0.750 0.500
Rh1 0.000 0.000 0.000
Rh2 0.750 0.250 0.500
O1 0.648 0.125 0.250
O2 0.102 0.625 0.250
O3 0.375 0.352 0.750
O4 0.875 0.898 0.750

Values from the calculation:
space group	I-42d (122)
size of the total moment	0.0	μB/f.u.
raw formation energy	0.349	eV per atom